1.
Here is PuCdCu2 after structural relaxation from Alexandria via LeMat-Bulk. Energies are from PBE.

Computed properties:
Total energy   -5.7894 eV/atom
Formation energy   27 kJ/mol of formula units

Cell and atoms, written as POSCAR:
```
PuCdCu2
1.0
-1.135 -1.198 2.609
2.619 -1.581 0.413
2.890 5.813 3.928
Cd Pu Cu
1 1 2
Direct
0.500 0.500 0.000
0.500 0.500 0.500
0.000 0.000 0.227
0.000 0.000 0.773
```


2.
Here is BaMnBe after structural relaxation from Alexandria via LeMat-Bulk. Energies are from PBE.

Computed properties:
Total energy   -4.3375 eV/atom
Formation energy   174 kJ/mol of formula units

Cell and atoms, written as POSCAR:
```
BaMnBe
1.0
6.286 -0.007 0.000
4.457 4.432 0.000
-5.372 -2.213 2.400
Ba Be Mn
1 1 1
Direct
0.997 0.997 0.000
0.277 0.277 0.000
0.727 0.727 0.000
```


3.
Here is Y12ErTh5 after structural relaxation from Alexandria via LeMat-Bulk. Energies are from PBE.

Computed properties:
Total energy   -6.6141 eV/atom
Formation energy   17 kJ/mol of formula units

Cell and atoms, written as POSCAR:
```
Y12ErTh5
1.0
-4.469 4.202 -1.029
-4.699 -1.336 -3.846
-10.550 -4.986 12.948
Y Th Er
12 5 1
Direct
0.280 0.000 0.164
0.554 0.667 0.336
0.221 0.333 0.336
0.446 0.333 0.664
0.055 0.335 0.836
0.779 0.667 0.664
0.945 0.665 0.164
0.720 0.000 0.836
0.390 0.665 0.836
0.112 0.000 0.665
0.888 0.000 0.335
0.610 0.335 0.164
0.500 0.000 0.500
0.834 0.333 0.500
0.667 0.666 0.000
0.166 0.667 0.500
0.333 0.334 0.000
0.000 0.000 0.000
```


4.
Here is Sc4PbSe after structural relaxation from Alexandria via LeMat-Bulk. Energies are from PBE.

Computed properties:
Total energy   -5.4267 eV/atom
ΔE_f (raw)   -0.007 eV/atom

Cell and atoms, written as POSCAR:
```
Sc4PbSe
1.0
4.367 -1.937 3.412
-0.483 -5.174 2.731
3.280 -4.551 -1.731
Sc Pb Se
4 1 1
Direct
0.374 0.878 0.374
0.374 0.374 0.878
0.878 0.374 0.374
0.374 0.374 0.374
0.000 0.000 0.000
0.750 0.750 0.750
```


5.
Here is CeNdHo4 after structural relaxation from Alexandria via LeMat-Bulk. Energies are from PBE.

Computed properties:
Total energy   -4.5872 eV/atom
Formation energy   144 kJ/mol of formula units

Cell and atoms, written as POSCAR:
```
CeNdHo4
1.0
6.581 -0.488 0.000
-2.923 5.917 0.000
0.000 0.000 10.331
Ce Ho Nd
2 8 2
Direct
0.000 0.000 0.000
0.000 0.000 0.500
0.349 0.164 0.250
0.340 0.660 0.069
0.660 0.340 0.931
0.651 0.836 0.750
0.660 0.340 0.569
0.164 0.349 0.750
0.340 0.660 0.431
0.836 0.651 0.250
0.830 0.170 0.250
0.170 0.830 0.750
```


6.
Here is Rh3Au after structural relaxation from Alexandria via LeMat-Bulk. Energies are from PBE.

Computed properties:
Total energy   -6.0915 eV/atom
Formation energy   93 kJ/mol of formula units

Cell and atoms, written as POSCAR:
```
Rh3Au
1.0
1.374 -2.367 0.000
1.374 2.367 0.000
0.000 0.000 9.491
Rh Au
3 1
Direct
0.000 0.000 0.500
0.500 0.500 0.738
0.500 0.500 0.262
0.000 0.000 0.000
```


7.
Here is CsIn2GaPt after structural relaxation from Alexandria via LeMat-Bulk. Energies are from PBE.

Computed properties:
Total energy   -3.2428 eV/atom
Formation energy   -79 kJ/mol of formula units

Cell and atoms, written as POSCAR:
```
CsIn2GaPt
1.0
-1.553 2.384 4.598
-5.169 -0.412 -1.532
-0.302 -4.492 2.226
In Ga Cs Pt
2 1 1 1
Direct
0.000 0.500 0.000
0.500 0.000 0.000
0.000 0.000 0.500
0.500 0.500 0.500
0.000 0.000 0.000
```


8.
Here is InGeP after structural relaxation from Alexandria via LeMat-Bulk. Energies are from PBE.

Computed properties:
Total energy   -4.0041 eV/atom
Formation energy   73 kJ/mol of formula units

Cell and atoms, written as POSCAR:
```
InGeP
1.0
-2.609 0.837 4.944
1.916 -1.459 1.258
2.502 8.348 -0.093
Ge In P
2 2 2
Direct
0.250 0.702 0.236
0.750 0.702 0.236
0.500 0.067 0.602
0.000 0.339 0.869
0.500 0.429 0.960
0.000 0.976 0.511
```